This record from the Alexandria database describes an optimized crystal structure of Y2SiSbRh6. The functional is PBE.

abc: 7.269 7.269 7.269
angles: 49.96 49.96 49.96
Positions (direct):
Y (0.239, 0.239, 0.239)
Y (0.761, 0.761, 0.761)
Si (0.500, 0.500, 0.500)
Sb (0.000, 0.000, 0.000)
Rh (0.187, 0.743, 0.743)
Rh (0.257, 0.257, 0.813)
Rh (0.257, 0.813, 0.257)
Rh (0.743, 0.187, 0.743)
Rh (0.743, 0.743, 0.187)
Rh (0.813, 0.257, 0.257)

Calculated values
Formation energy from raw total energies ... -0.518 eV/atom
Fermi-level density of states ... 7.42 states/eV/cell
Spin magnetization ... 0.0 μB/f.u.



This record from the Alexandria database describes an optimized crystal structure of Cs3La2TbSe6. The functional is PBE.

abc: 7.668 7.668 8.762
angles: 98.39 98.39 120.00
Positions (direct):
Cs (0.000, 0.000, 0.000)
Cs (0.332, 0.668, 0.000)
Cs (0.668, 0.332, 0.000)
La (0.167, 0.833, 0.500)
La (0.833, 0.167, 0.500)
Tb (0.500, 0.500, 0.500)
Se (0.114, 0.437, 0.311)
Se (0.240, 0.240, 0.690)
Se (0.437, 0.114, 0.311)
Se (0.563, 0.886, 0.689)
Se (0.760, 0.760, 0.310)
Se (0.886, 0.563, 0.689)

Calculated values
Formation energy from raw total energies ... -1.782 eV/atom
Fermi-level density of states ... 0.00 states/eV/cell
Spin magnetization ... 0.0 μB/f.u.



This record from the Alexandria database describes an optimized crystal structure of BaZrFe2. The functional is PBE.

abc: 5.055 5.055 3.304
angles: 90.00 90.00 90.00
Positions (direct):
Ba (0.000, 0.000, 0.000)
Zr (0.500, 0.500, 0.000)
Fe (0.000, 0.500, 0.500)
Fe (0.500, 0.000, 0.500)

Calculated values
Fermi-level density of states ... 5.72 states/eV/cell
Spin magnetization ... 3.9 μB/f.u.
Offset from the most stable computed form ... 451 meV per atom
Energy relative to the elements ... 0.739 eV per atom



This record from the Alexandria database describes an optimized crystal structure of HgHCl3. The functional is PBE.

abc: 4.503 4.503 4.503
angles: 90.00 90.00 90.00
Positions (direct):
Hg (0.000, 0.000, 0.000)
H (0.500, 0.500, 0.500)
Cl (0.000, 0.500, 0.500)
Cl (0.500, 0.000, 0.500)
Cl (0.500, 0.500, 0.000)

Calculated values
Fermi-level density of states ... 3.80 states/eV/cell
Spin magnetization ... 0.0 μB/f.u.
Offset from the most stable computed form ... 935 meV per atom



This record from the Alexandria database describes an optimized crystal structure of CsTc2Bi. The functional is PBE.

abc: 5.002 5.002 5.002
angles: 60.00 60.00 60.00
Positions (direct):
Cs (0.000, 0.000, 0.000)
Tc (0.250, 0.250, 0.250)
Tc (0.750, 0.750, 0.750)
Bi (0.500, 0.500, 0.500)

Calculated values
Fermi-level density of states ... 4.24 states/eV/cell
Spin magnetization ... 3.2 μB/f.u.
Offset from the most stable computed form ... 0 meV per atom
Energy relative to the elements ... 1.589 eV per atom



This record from the Alexandria database describes an optimized crystal structure of InSnMo3. The functional is PBE.

abc: 4.912 4.912 4.912
angles: 90.00 90.00 90.00
Positions (direct):
In (0.000, 0.000, 0.000)
Sn (0.500, 0.500, 0.500)
Mo (0.000, 0.500, 0.500)
Mo (0.500, 0.000, 0.500)
Mo (0.500, 0.500, 0.000)

Calculated values
Fermi-level density of states ... 6.89 states/eV/cell
Spin magnetization ... 0.0 μB/f.u.
Offset from the most stable computed form ... 0 meV per atom
Energy relative to the elements ... 1.950 eV per atom



Number 1: V 20.72 A^3/atom, electronic total energy -7.18 eV per atom. Number 2: V 35.57 A^3/atom, electronic total energy -4.95 eV per atom. Number 3: V 21.10 A^3/atom, electronic total energy -6.11 eV per atom. Number 4: V 18.26 A^3/atom, electronic total energy -1.47 eV per atom. Number 5: V 22.12 A^3/atom, electronic total energy -4.78 eV per atom. Number 6: V 23.70 A^3/atom, electronic total energy -5.90 eV per atom.